Entry 1:
A PBEsol-optimized structure of ZnFe2H28S4O30, computed with SCAN.

Properties
electronic total energy = -0.25618 Ha/atom
volume = 8.6 Å³/atom

a = 6.192 Å, b = 6.203 Å, c = 14.818 Å
α = 93.32°, β = 90.86°, γ = 100.05°
Sites, in units of the cell vectors:
Zn1 0.000 0.000 0.000
Fe1 0.397 0.663 0.322
Fe2 0.603 0.337 0.678
H1 0.006 0.758 0.835
H2 0.033 0.611 0.241
H3 0.096 0.863 0.285
H4 0.177 0.748 0.111
H5 0.189 0.689 0.475
H6 0.200 0.650 0.009
H7 0.231 0.174 0.147
H8 0.271 0.512 0.622
H9 0.286 0.931 0.440
H10 0.291 0.019 0.675
H11 0.316 0.310 0.553
H12 0.340 0.268 0.945
H13 0.396 0.027 0.922
H14 0.480 0.961 0.741
H15 0.520 0.039 0.259
H16 0.604 0.973 0.078
H17 0.660 0.732 0.055
H18 0.684 0.690 0.447
H19 0.709 0.981 0.325
H20 0.714 0.069 0.560
H21 0.729 0.488 0.378
H22 0.769 0.826 0.853
H23 0.800 0.350 0.991
H24 0.811 0.311 0.525
H25 0.823 0.252 0.889
H26 0.904 0.137 0.715
H27 0.967 0.389 0.759
H28 0.994 0.242 0.165
S1 0.095 0.238 0.386
S2 0.373 0.589 0.831
S3 0.627 0.411 0.169
S4 0.905 0.762 0.614
O1 0.019 0.963 0.665
O2 0.066 0.635 0.576
O3 0.072 0.143 0.128
O4 0.108 0.726 0.050
O5 0.160 0.738 0.254
O6 0.165 0.582 0.779
O7 0.232 0.175 0.460
O8 0.238 0.367 0.321
O9 0.297 0.770 0.434
O10 0.323 0.116 0.964
O11 0.338 0.537 0.926
O12 0.357 0.392 0.614
O13 0.455 0.038 0.684
O14 0.493 0.414 0.793
O15 0.497 0.186 0.173
O16 0.503 0.814 0.827
O17 0.507 0.586 0.207
O18 0.545 0.962 0.316
O19 0.643 0.608 0.386
O20 0.662 0.463 0.074
O21 0.677 0.884 0.036
O22 0.703 0.230 0.566
O23 0.762 0.633 0.679
O24 0.768 0.825 0.540
O25 0.835 0.418 0.221
O26 0.840 0.262 0.746
O27 0.892 0.274 0.950
O28 0.928 0.857 0.872
O29 0.934 0.365 0.424
O30 0.981 0.037 0.335



Entry 2:
A PBEsol-optimized structure of SrI3O, computed with SCAN.

Properties
formation energy (no corrections) = -0.6107 eV/atom
volume = 27.8 Å³/atom

a = 5.178 Å, b = 5.178 Å, c = 5.178 Å
α = 90.00°, β = 90.00°, γ = 90.00°
Sites, in units of the cell vectors:
Sr1 0.000 0.000 0.000
I1 0.000 0.500 0.500
I2 0.500 0.000 0.500
I3 0.500 0.500 0.000
O1 0.500 0.500 0.500



Entry 3:
A PBEsol-optimized structure of MgZr2Pb, computed with SCAN.

Properties
volume = 21.7 Å³/atom
energy of formation from the pure elements = -0.284 eV per atom

a = 4.348 Å, b = 4.348 Å, c = 4.586 Å
α = 90.00°, β = 90.00°, γ = 90.00°
Sites, in units of the cell vectors:
Mg1 0.000 0.000 0.000
Zr1 0.000 0.500 0.500
Zr2 0.500 0.000 0.500
Pb1 0.500 0.500 0.000



Entry 4:
A PBEsol-optimized structure of KYN3, computed with SCAN.

Properties
formation energy (no corrections) = 1.9068 eV/atom
volume = 14.1 Å³/atom

a = 4.130 Å, b = 4.130 Å, c = 4.130 Å
α = 90.00°, β = 90.00°, γ = 90.00°
Sites, in units of the cell vectors:
K1 0.000 0.000 0.000
Y1 0.500 0.500 0.500
N1 0.000 0.000 0.500
N2 0.000 0.500 0.000
N3 0.500 0.000 0.000



Entry 5:
A PBEsol-optimized structure of NaBeAl3, computed with SCAN.

Properties
volume = 24.6 Å³/atom
energy of formation from the pure elements = 1.626 eV per atom

a = 4.975 Å, b = 4.975 Å, c = 4.975 Å
α = 90.00°, β = 90.00°, γ = 90.00°
Sites, in units of the cell vectors:
Na1 0.000 0.000 0.000
Be1 0.500 0.500 0.500
Al1 0.000 0.000 0.500
Al2 0.000 0.500 0.000
Al3 0.500 0.000 0.000



Entry 6:
A PBEsol-optimized structure of SrCa2Mg, computed with SCAN.

Properties
volume = 37.8 Å³/atom
energy of formation from the pure elements = 0.035 eV per atom

a = 5.220 Å, b = 5.220 Å, c = 5.545 Å
α = 90.00°, β = 90.00°, γ = 90.00°
Sites, in units of the cell vectors:
Sr1 0.000 0.000 0.000
Ca1 0.000 0.500 0.500
Ca2 0.500 0.000 0.500
Mg1 0.500 0.500 0.000



Entry 7:
A PBEsol-optimized structure of Ta3GeH, computed with SCAN.

Properties
electronic total energy = -1.63921 Ha/atom
volume = 13.8 Å³/atom

a = 4.099 Å, b = 4.099 Å, c = 4.099 Å
α = 90.00°, β = 90.00°, γ = 90.00°
Sites, in units of the cell vectors:
Ta1 0.000 0.000 0.500
Ta2 0.000 0.500 0.000
Ta3 0.500 0.000 0.000
Ge1 0.500 0.500 0.500
H1 0.000 0.000 0.000



Entry 8:
A PBEsol-optimized structure of IrSe2I, computed with SCAN.

Properties
formation energy (no corrections) = 0.1786 eV/atom
volume = 26.4 Å³/atom

a = 6.579 Å, b = 6.579 Å, c = 6.579 Å
α = 116.19°, β = 116.19°, γ = 96.74°
Sites, in units of the cell vectors:
Ir1 0.000 0.000 0.000
Ir2 0.750 0.250 0.500
Se1 0.039 0.625 0.914
Se2 0.375 0.289 0.414
Se3 0.711 0.125 0.086
Se4 0.875 0.961 0.586
I1 0.250 0.750 0.500
I2 0.500 0.500 0.000



Entry 9:
A PBEsol-optimized structure of Li5Ti3O8, computed with SCAN.

Properties
formation energy (no corrections) = -2.8652 eV/atom
volume = 8.7 Å³/atom

a = 5.838 Å, b = 5.838 Å, c = 5.838 Å
α = 59.70°, β = 59.70°, γ = 59.70°
Sites, in units of the cell vectors:
Li1 0.000 0.000 0.000
Li2 0.000 0.500 0.500
Li3 0.500 0.000 0.500
Li4 0.500 0.500 0.000
Li5 0.500 0.500 0.500
Ti1 0.000 0.000 0.500
Ti2 0.000 0.500 0.000
Ti3 0.500 0.000 0.000
O1 0.228 0.751 0.751
O2 0.245 0.245 0.245
O3 0.249 0.249 0.772
O4 0.249 0.772 0.249
O5 0.751 0.228 0.751
O6 0.751 0.751 0.228
O7 0.755 0.755 0.755
O8 0.772 0.249 0.249



Entry 10:
A PBEsol-optimized structure of Rb2HgS, computed with SCAN.

Properties
formation energy (no corrections) = -0.8603 eV/atom
volume = 31.3 Å³/atom

a = 5.615 Å, b = 5.615 Å, c = 5.615 Å
α = 60.00°, β = 60.00°, γ = 60.00°
Sites, in units of the cell vectors:
Rb1 0.250 0.250 0.250
Rb2 0.750 0.750 0.750
Hg1 0.000 0.000 0.000
S1 0.500 0.500 0.500



Entry 11:
A PBEsol-optimized structure of LiYSb2, computed with SCAN.

Properties
formation energy (no corrections) = -0.7454 eV/atom
volume = 24.3 Å³/atom

a = 5.905 Å, b = 5.905 Å, c = 4.443 Å
α = 107.86°, β = 107.86°, γ = 41.64°
Sites, in units of the cell vectors:
Li1 0.000 0.000 0.000
Y1 0.245 0.245 0.655
Sb1 0.518 0.518 0.565
Sb2 0.760 0.760 0.157



Entry 12:
A PBEsol-optimized structure of PrLuIn2, computed with SCAN.

Properties
volume = 26.0 Å³/atom
energy of formation from the pure elements = -0.579 eV per atom

a = 5.278 Å, b = 5.278 Å, c = 5.278 Å
α = 60.00°, β = 60.00°, γ = 60.00°
Sites, in units of the cell vectors:
Pr1 0.000 0.000 0.000
Lu1 0.500 0.500 0.500
In1 0.250 0.250 0.250
In2 0.750 0.750 0.750



Entry 13:
A PBEsol-optimized structure of BeCo2OsPt, computed with SCAN.

Properties
volume = 12.1 Å³/atom
energy of formation from the pure elements = 0.539 eV per atom

a = 3.893 Å, b = 3.893 Å, c = 3.989 Å
α = 90.00°, β = 90.00°, γ = 90.00°
Sites, in units of the cell vectors:
Be1 0.000 0.000 0.000
Co1 0.000 0.500 0.000
Co2 0.500 0.000 0.000
Os1 0.500 0.500 0.500
Pt1 0.000 0.000 0.500



Entry 14:
A PBEsol-optimized structure of GeTe2HI, computed with SCAN.

Properties
electronic total energy = -0.96437 Ha/atom
volume = 23.6 Å³/atom

a = 4.391 Å, b = 4.391 Å, c = 6.125 Å
α = 90.00°, β = 90.00°, γ = 90.00°
Sites, in units of the cell vectors:
Ge1 0.000 0.000 0.000
Te1 0.000 0.500 0.500
Te2 0.500 0.000 0.500
H1 0.500 0.500 0.500
I1 0.500 0.500 0.000



Entry 15:
A PBEsol-optimized structure of NiH2SeS, computed with SCAN.

Properties
electronic total energy = -0.37405 Ha/atom
volume = 11.4 Å³/atom

a = 3.439 Å, b = 3.439 Å, c = 4.831 Å
α = 90.00°, β = 90.00°, γ = 90.00°
Sites, in units of the cell vectors:
Ni1 0.000 0.000 0.000
H1 0.000 0.500 0.000
H2 0.500 0.000 0.000
Se1 0.000 0.000 0.500
S1 0.500 0.500 0.500



Entry 16:
A PBEsol-optimized structure of CaZn2In, computed with SCAN.

Properties
volume = 22.3 Å³/atom
energy of formation from the pure elements = -0.318 eV per atom

a = 6.031 Å, b = 6.031 Å, c = 6.031 Å
α = 42.08°, β = 42.08°, γ = 42.08°
Sites, in units of the cell vectors:
Ca1 0.000 0.000 0.000
Zn1 0.453 0.453 0.453
Zn2 0.791 0.791 0.791
In1 0.207 0.207 0.207



Entry 17:
A PBEsol-optimized structure of InAsH3, computed with SCAN.

Properties
electronic total energy = -0.43665 Ha/atom
volume = 11.6 Å³/atom

a = 3.875 Å, b = 3.875 Å, c = 3.875 Å
α = 90.00°, β = 90.00°, γ = 90.00°
Sites, in units of the cell vectors:
In1 0.000 0.000 0.000
As1 0.500 0.500 0.500
H1 0.000 0.000 0.500
H2 0.000 0.500 0.000
H3 0.500 0.000 0.000



Entry 18:
A PBEsol-optimized structure of Ti3AuC, computed with SCAN.

Properties
volume = 14.2 Å³/atom
energy of formation from the pure elements = -0.821 eV per atom

a = 4.137 Å, b = 4.137 Å, c = 4.137 Å
α = 90.00°, β = 90.00°, γ = 90.00°
Sites, in units of the cell vectors:
Ti1 0.000 0.000 0.500
Ti2 0.000 0.500 0.000
Ti3 0.500 0.000 0.000
Au1 0.500 0.500 0.500
C1 0.000 0.000 0.000



Entry 19:
A PBEsol-optimized structure of Tl2GaNiBi, computed with SCAN.

Properties
volume = 25.6 Å³/atom
energy of formation from the pure elements = 0.240 eV per atom

a = 4.976 Å, b = 4.976 Å, c = 5.164 Å
α = 90.00°, β = 90.00°, γ = 90.00°
Sites, in units of the cell vectors:
Tl1 0.000 0.500 0.000
Tl2 0.500 0.000 0.000
Ga1 0.000 0.000 0.500
Ni1 0.500 0.500 0.000
Bi1 0.500 0.500 0.500



Entry 20:
A PBEsol-optimized structure of Zn2Ag, computed with SCAN.

Properties
volume = 14.7 Å³/atom
energy of formation from the pure elements = -0.009 eV per atom

a = 4.903 Å, b = 4.903 Å, c = 4.903 Å
α = 145.10°, β = 138.97°, γ = 54.93°
Sites, in units of the cell vectors:
Zn1 0.172 0.172 0.000
Zn2 0.828 0.828 0.000
Ag1 0.500 0.500 0.000